*one*
LiLuOsW: relaxed, GGA-PBE.

Cell and atoms, written as extended XYZ:
```
4
Lattice="0.0000 3.2116 3.2116 3.2116 0.0000 3.2116 3.2116 3.2116 0.0000" Properties=species:S:1:pos:R:3 pbc="T T T"
Li 0.0000 0.0000 0.0000
Lu 4.8174 4.8174 4.8174
Os 3.2116 3.2116 3.2116
W 1.6058 1.6058 1.6058
```

Output
* M_tot: 0.00 μB/cell
* space group: F-43m (216)



*two*
LiLuOsW: relaxed, GGA-PBE.

Cell and atoms, written as extended XYZ:
```
4
Lattice="0.0000 3.1862 3.1862 3.1862 0.0000 3.1862 3.1862 3.1862 0.0000" Properties=species:S:1:pos:R:3 pbc="T T T"
Li 0.0000 0.0000 0.0000
Lu 1.5931 1.5931 1.5931
Os 4.7793 4.7793 4.7793
W 3.1862 3.1862 3.1862
```

Output
* M_tot: 0.00 μB/cell
* space group: F-43m (216)



Which of them is most stable? Easy: *one*.



*one*
LiLuPdPb: relaxed, GGA-PBE.

Cell and atoms, written as extended XYZ:
```
4
Lattice="0.0000 3.4563 3.4563 3.4563 0.0000 3.4563 3.4563 3.4563 0.0000" Properties=species:S:1:pos:R:3 pbc="T T T"
Li 0.0000 0.0000 0.0000
Lu 3.4563 3.4563 3.4563
Pd 5.1845 5.1845 5.1845
Pb 1.7282 1.7282 1.7282
```

Output
* M_tot: 0.00 μB/cell
* space group: F-43m (216)



*two*
LiLuPdPb: relaxed, GGA-PBE.

Cell and atoms, written as extended XYZ:
```
4
Lattice="0.0000 3.4147 3.4147 3.4147 0.0000 3.4147 3.4147 3.4147 0.0000" Properties=species:S:1:pos:R:3 pbc="T T T"
Li 0.0000 0.0000 0.0000
Lu 1.7074 1.7074 1.7074
Pd 5.1221 5.1221 5.1221
Pb 3.4147 3.4147 3.4147
```

Output
* M_tot: 0.00 μB/cell
* space group: F-43m (216)



*three*
LiLuPdPb: relaxed, GGA-PBE.

Cell and atoms, written as extended XYZ:
```
4
Lattice="0.0000 3.3774 3.3774 3.3774 0.0000 3.3774 3.3774 3.3774 0.0000" Properties=species:S:1:pos:R:3 pbc="T T T"
Li 0.0000 0.0000 0.0000
Lu 5.0661 5.0661 5.0661
Pd 3.3774 3.3774 3.3774
Pb 1.6887 1.6887 1.6887
```

Output
* M_tot: 0.00 μB/cell
* space group: F-43m (216)



Which of them is most stable? Easy: *three*.



*one*
LiLuPtPb: relaxed, GGA-PBE.

Cell and atoms, written as extended XYZ:
```
4
Lattice="0.0000 3.3767 3.3767 3.3767 0.0000 3.3767 3.3767 3.3767 0.0000" Properties=species:S:1:pos:R:3 pbc="T T T"
Li 0.0000 0.0000 0.0000
Lu 1.6883 1.6883 1.6883
Pt 3.3767 3.3767 3.3767
Pb 5.0650 5.0650 5.0650
```

Output
* M_tot: 0.00 μB/cell
* space group: F-43m (216)



*two*
LiLuPtPb: relaxed, GGA-PBE.

Cell and atoms, written as extended XYZ:
```
4
Lattice="0.0000 3.3939 3.3939 3.3939 0.0000 3.3939 3.3939 3.3939 0.0000" Properties=species:S:1:pos:R:3 pbc="T T T"
Li 0.0000 0.0000 0.0000
Lu 5.0908 5.0908 5.0908
Pt 1.6969 1.6969 1.6969
Pb 3.3939 3.3939 3.3939
```

Output
* M_tot: 0.00 μB/cell
* space group: F-43m (216)



Which of them is most stable? Easy: *one*.



*one*
LiLuTe3Pb: relaxed, GGA-PBE.

Cell and atoms, written as extended XYZ:
```
12
Lattice="9.4335 -2.1612 0.0000 9.4335 2.1612 0.0000 -2.1628 0.0000 8.9618" Properties=species:S:1:pos:R:3 pbc="T T T"
Li -0.3018 0.0000 1.7853
Li 17.0059 0.0000 7.1765
Lu 4.3443 0.0000 8.1998
Lu 12.3598 0.0000 0.7620
Te -1.0814 0.0000 4.4809
Te 1.3530 0.0000 7.6604
Te 2.6666 0.0000 2.8635
Te 9.4335 0.0000 0.0000
Te 14.0375 0.0000 6.0983
Te 15.3511 0.0000 1.3014
Pb 5.9590 0.0000 3.9052
Pb 10.7451 0.0000 5.0565
```

Output
* M_tot: 0.00 μB/cell
* space group: C2/m (12)



*two*
LiLuTe3Pb: relaxed, GGA-PBE.

Cell and atoms, written as extended XYZ:
```
12
Lattice="8.1939 0.0000 0.0000 0.0000 4.3434 0.0000 -2.9439 0.0000 10.2856" Properties=species:S:1:pos:R:3 pbc="T T T"
Li 0.4223 1.0858 0.9115
Li 4.8277 3.2575 9.3741
Lu 1.5090 3.2575 3.4798
Lu 3.7410 1.0858 6.8058
Te -0.5662 1.0858 3.4564
Te 2.1085 3.2575 0.4602
Te 1.6128 3.2575 6.5271
Te 3.6372 1.0858 3.7585
Te 3.1415 1.0858 9.8254
Te 5.8162 3.2575 6.8292
Pb -0.2016 1.0858 8.2748
Pb 5.4516 3.2575 2.0108
```

Output
* M_tot: 0.01 μB/cell
* space group: P2_1/m (11)



Which of them is most stable? Easy: *one*.



*one*
LiLuPd: relaxed, GGA-PBE.

Cell and atoms, written as extended XYZ:
```
3
Lattice="0.0000 3.2219 3.2219 3.2219 0.0000 3.2219 3.2219 3.2219 0.0000" Properties=species:S:1:pos:R:3 pbc="T T T"
Li 0.0000 0.0000 0.0000
Lu 1.6110 1.6110 1.6110
Pd 3.2219 3.2219 3.2219
```

Output
* M_tot: 0.00 μB/cell
* space group: F-43m (216)



*two*
LiLuPd: relaxed, GGA-PBE.

Cell and atoms, written as extended XYZ:
```
3
Lattice="0.0000 3.0665 3.0665 3.0665 0.0000 3.0665 3.0665 3.0665 0.0000" Properties=species:S:1:pos:R:3 pbc="T T T"
Li 0.0000 0.0000 0.0000
Lu 4.5997 4.5997 4.5997
Pd 1.5332 1.5332 1.5332
```

Output
* M_tot: 0.00 μB/cell
* space group: F-43m (216)



Which of them is most stable? Easy: *two*.



*one*
LiLuSnPd: relaxed, GGA-PBE.

Cell and atoms, written as extended XYZ:
```
4
Lattice="0.0000 3.3265 3.3265 3.3265 0.0000 3.3265 3.3265 3.3265 0.0000" Properties=species:S:1:pos:R:3 pbc="T T T"
Li 0.0000 0.0000 0.0000
Lu 4.9898 4.9898 4.9898
Sn 1.6633 1.6633 1.6633
Pd 3.3265 3.3265 3.3265
```

Output
* M_tot: 0.00 μB/cell
* space group: F-43m (216)



*two*
LiLuSnPd: relaxed, GGA-PBE.

Cell and atoms, written as extended XYZ:
```
4
Lattice="0.0000 3.4179 3.4179 3.4179 0.0000 3.4179 3.4179 3.4179 0.0000" Properties=species:S:1:pos:R:3 pbc="T T T"
Li 0.0000 0.0000 0.0000
Lu 3.4179 3.4179 3.4179
Sn 5.1269 5.1269 5.1269
Pd 1.7090 1.7090 1.7090
```

Output
* M_tot: 0.00 μB/cell
* space group: F-43m (216)



Which of them is most stable? Easy: *one*.



*one*
LiLuZrPd: relaxed, GGA-PBE.

Cell and atoms, written as extended XYZ:
```
4
Lattice="0.0000 3.3447 3.3447 3.3447 0.0000 3.3447 3.3447 3.3447 0.0000" Properties=species:S:1:pos:R:3 pbc="T T T"
Li 0.0000 0.0000 0.0000
Lu 5.0170 5.0170 5.0170
Zr 3.3447 3.3447 3.3447
Pd 1.6723 1.6723 1.6723
```

Output
* M_tot: 0.00 μB/cell
* space group: F-43m (216)



*two*
LiLuZrPd: relaxed, GGA-PBE.

Cell and atoms, written as extended XYZ:
```
4
Lattice="0.0000 3.4060 3.4060 3.4060 0.0000 3.4060 3.4060 3.4060 0.0000" Properties=species:S:1:pos:R:3 pbc="T T T"
Li 0.0000 0.0000 0.0000
Lu 1.7030 1.7030 1.7030
Zr 5.1090 5.1090 5.1090
Pd 3.4060 3.4060 3.4060
```

Output
* M_tot: 0.00 μB/cell
* space group: F-43m (216)



Which of them is most stable? Easy: *two*.



*one*
LiLuPt2: relaxed, GGA-PBE.

Cell and atoms, written as extended XYZ:
```
8
Lattice="4.5634 0.0000 0.0000 -2.2817 3.9520 0.0000 0.0000 0.0000 8.4948" Properties=species:S:1:pos:R:3 pbc="T T T"
Li 0.0000 2.6347 2.1237
Li 2.2817 1.3173 6.3711
Lu 0.0000 0.0000 0.0000
Lu 0.0000 0.0000 4.2474
Pt 0.0000 2.6347 5.0660
Pt 0.0000 2.6347 7.6762
Pt 2.2817 1.3173 0.8186
Pt 2.2817 1.3173 3.4288
```

Output
* M_tot: 0.00 μB/cell
* space group: P6_3/mmc (194)



*two*
LiLuPt2: relaxed, GGA-PBE.

Cell and atoms, written as extended XYZ:
```
8
Lattice="4.4760 0.0000 0.0000 -2.2380 3.8763 0.0000 0.0000 0.0000 8.3404" Properties=species:S:1:pos:R:3 pbc="T T T"
Li 0.0000 0.0000 2.0851
Li 0.0000 0.0000 6.2553
Lu 0.0000 2.5842 2.0851
Lu 2.2380 1.2921 6.2553
Pt 0.0000 2.5842 4.9036
Pt 0.0000 2.5842 7.6071
Pt 2.2380 1.2921 0.7333
Pt 2.2380 1.2921 3.4369
```

Output
* M_tot: 0.00 μB/cell
* space group: P6_3/mmc (194)



Which of them is most stable? Easy: *one*.



*one*
LiLuPt2: relaxed, GGA-PBE.

Cell and atoms, written as extended XYZ:
```
4
Lattice="0.0000 3.2470 3.2470 3.2470 0.0000 3.2470 3.2470 3.2470 0.0000" Properties=species:S:1:pos:R:3 pbc="T T T"
Li 0.0000 0.0000 0.0000
Lu 1.6235 1.6235 1.6235
Pt 3.2470 3.2470 3.2470
Pt 4.8705 4.8705 4.8705
```

Output
* M_tot: 0.00 μB/cell
* space group: F-43m (216)



*two*
LiLuPt2: relaxed, GGA-PBE.

Cell and atoms, written as extended XYZ:
```
8
Lattice="4.3384 0.0000 0.0000 -2.1692 3.7572 0.0000 0.0000 0.0000 8.7653" Properties=species:S:1:pos:R:3 pbc="T T T"
Li 0.0000 0.0000 0.0000
Li 0.0000 0.0000 4.3827
Lu 0.0000 2.5048 2.1913
Lu 2.1692 1.2524 6.5740
Pt 0.0000 2.5048 5.1687
Pt 0.0000 2.5048 7.9793
Pt 2.1692 1.2524 0.7860
Pt 2.1692 1.2524 3.5966
```

Output
* M_tot: 0.00 μB/cell
* space group: P6_3/mmc (194)



Which of them is most stable? Easy: *two*.



*one*
SrLiLuS3: relaxed, GGA-PBE.

Cell and atoms, written as extended XYZ:
```
12
Lattice="7.5649 0.0000 0.0000 0.0000 3.9358 0.0000 -2.6144 0.0000 8.9676" Properties=species:S:1:pos:R:3 pbc="T T T"
Sr 1.1204 0.9839 2.6048
Sr 3.8301 2.9518 6.3628
Li -0.8800 0.9839 5.2751
Li 5.8306 2.9518 3.6925
Lu 0.1179 2.9518 7.5929
Lu 4.8327 0.9839 1.3746
S -1.6623 0.9839 7.5032
S 0.4427 2.9518 4.8787
S 2.9516 2.9518 1.2953
S 1.9989 0.9839 7.6722
S 4.5078 0.9839 4.0888
S 6.6128 2.9518 1.4644
```

Output
* M_tot: 0.01 μB/cell
* space group: P2_1/m (11)



*two*
SrLiLuS3: relaxed, GGA-PBE.

Cell and atoms, written as extended XYZ:
```
12
Lattice="1.9771 -6.4902 0.0000 1.9771 6.4902 0.0000 0.0000 0.0000 10.0403" Properties=species:S:1:pos:R:3 pbc="T T T"
Sr 1.9771 3.2791 7.5302
Sr 1.9771 -3.2791 2.5101
Li 1.9771 6.1534 2.5101
Li 1.9771 -6.1534 7.5302
Lu 1.9771 0.0000 0.0000
Lu 1.9771 0.0000 5.0202
S 1.9771 4.7588 0.6278
S 1.9771 4.7588 4.3924
S 1.9771 0.9706 2.5101
S 1.9771 -0.9706 7.5302
S 1.9771 -4.7588 5.6479
S 1.9771 -4.7588 9.4126
```

Output
* M_tot: 0.00 μB/cell
* space group: Cmcm (63)



*three*
SrLiLuS3: relaxed, GGA-PBE.

Cell and atoms, written as extended XYZ:
```
12
Lattice="8.3501 -1.9573 0.0000 8.3501 1.9573 0.0000 -2.0283 0.0000 8.0163" Properties=species:S:1:pos:R:3 pbc="T T T"
Sr 2.1179 0.0000 0.5128
Sr 12.5541 0.0000 7.5035
Li 7.6726 0.0000 2.4008
Li 6.9994 0.0000 5.6155
Lu 1.5745 0.0000 4.6808
Lu 13.0974 0.0000 3.3355
S -1.0141 0.0000 4.0081
S 5.0511 0.0000 1.5465
S 4.2367 0.0000 5.1236
S 8.3501 0.0000 0.0000
S 10.4352 0.0000 2.8927
S 9.6209 0.0000 6.4698
```

Output
* M_tot: 0.01 μB/cell
* space group: C2/m (12)



*four*
SrLiLuS3: relaxed, GGA-PBE.

Cell and atoms, written as extended XYZ:
```
24
Lattice="13.2082 0.0000 0.0000 0.0000 3.9468 0.0000 0.0000 0.0000 10.2158" Properties=species:S:1:pos:R:3 pbc="T T T"
Sr 3.0177 0.9867 0.3149
Sr 3.5864 2.9601 5.4228
Sr 9.6218 0.9867 4.7930
Sr 10.1905 2.9601 9.9010
Li 0.0756 2.9601 0.9233
Li 6.5285 0.9867 6.0312
Li 6.6797 2.9601 4.1846
Li 13.1326 0.9867 9.2925
Lu 0.2115 0.9867 3.4081
Lu 6.3926 2.9601 8.5160
Lu 6.8156 0.9867 1.6999
Lu 12.9967 2.9601 6.8078
S 1.2528 2.9601 9.0478
S 1.3739 0.9867 5.8073
S 1.8144 2.9601 2.5485
S 4.7897 0.9867 7.6564
S 5.2302 2.9601 0.6993
S 5.3513 0.9867 3.9399
S 7.8569 2.9601 6.2760
S 7.9780 0.9867 9.5165
S 8.4185 2.9601 2.5594
S 11.3937 0.9867 7.6673
S 11.8343 2.9601 4.4086
S 11.9554 0.9867 1.1680
```

Output
* M_tot: 0.01 μB/cell
* space group: Pnma (62)



Which of them is most stable? Easy: *three*.



*one*
LiLuZnSe3: relaxed, GGA-PBE.

Cell and atoms, written as extended XYZ:
```
24
Lattice="12.0551 0.0000 0.0000 0.0000 3.9511 0.0000 0.0000 0.0000 11.5560" Properties=species:S:1:pos:R:3 pbc="T T T"
Li 1.4581 0.9878 0.1668
Li 4.5694 2.9633 5.9448
Li 7.4857 0.9878 5.6112
Li 10.5970 2.9633 11.3893
Lu 0.5486 0.9878 7.8106
Lu 5.4789 2.9633 2.0326
Lu 6.5762 0.9878 9.5235
Lu 11.5065 2.9633 3.7454
Zn 2.8626 0.9878 3.3245
Zn 3.1650 2.9633 9.1025
Zn 8.8902 0.9878 2.4535
Zn 9.1925 2.9633 8.2316
Se 0.8157 2.9633 9.8976
Se 1.0375 0.9878 4.8889
Se 2.6891 2.9633 1.7949
Se 3.3385 0.9878 7.5729
Se 4.9901 2.9633 10.6669
Se 5.2119 0.9878 4.1196
Se 6.8433 2.9633 7.4365
Se 7.0650 0.9878 0.8892
Se 8.7166 2.9633 3.9831
Se 9.3661 0.9878 9.7612
Se 11.0177 2.9633 6.6672
Se 11.2394 0.9878 1.6584
```

Output
* M_tot: 0.00 μB/cell
* space group: Pnma (62)



*two*
LiLuZnSe3: relaxed, GGA-PBE.

Cell and atoms, written as extended XYZ:
```
12
Lattice="1.9609 -6.5156 0.0000 1.9609 6.5156 0.0000 0.0000 0.0000 10.7165" Properties=species:S:1:pos:R:3 pbc="T T T"
Li 1.9609 3.5721 8.0374
Li 1.9609 -3.5721 2.6791
Lu 0.0000 0.0000 0.0000
Lu 0.0000 0.0000 5.3583
Zn 1.9609 0.3236 2.6791
Zn 1.9609 -0.3236 8.0374
Se 1.9609 5.3025 2.6791
Se 1.9609 1.8376 0.7710
Se 1.9609 1.8376 4.5872
Se 1.9609 -1.8376 6.1293
Se 1.9609 -1.8376 9.9455
Se 1.9609 -5.3025 8.0374
```

Output
* M_tot: 0.01 μB/cell
* space group: Cmcm (63)



Which of them is most stable? Easy: *two*.